A relaxed structure of K2Sb2Au. Source: Alexandria via LeMat-Bulk, functional GGA-PBE.

Output
calculated total energy: -3.06 eV per atom
formation energy from raw total energies: -0.32 eV/atom
magnetization: 0.0 μB/f.u.
space group: Amm2 (38)

abc: 5.101 7.420 7.420
angles: 37.20 90.00 90.00
Fractional coordinates of all 5 atoms:
K (0.000, 0.000, 0.000)
K (0.000, 0.244, 0.244)
Sb (0.500, 0.423, 0.423)
Sb (0.500, 0.627, 0.627)
Au (0.500, 0.825, 0.825)

A relaxed structure of AcSeI. Source: Alexandria via LeMat-Bulk, functional GGA-PBE.

Output
calculated total energy: -4.70 eV per atom
formation energy from raw total energies: -1.66 eV/atom
magnetization: 0.0 μB/f.u.
space group: F-43m (216)

abc: 5.429 5.429 5.429
angles: 60.00 60.00 60.00
Fractional coordinates of all 3 atoms:
Ac (0.000, 0.000, 0.000)
Se (0.250, 0.250, 0.250)
I (0.750, 0.750, 0.750)

A relaxed structure of CuAgMo2. Source: Alexandria via LeMat-Bulk, functional GGA-PBE.

Output
calculated total energy: -6.40 eV per atom
ΔH_f (0 K): 749 meV/atom
magnetization: 0.0 μB/f.u.
space group: I-42d (122)

abc: 10.306 10.306 10.306
angles: 159.64 159.64 28.95
Fractional coordinates of all 8 atoms:
Cu (0.000, 0.000, 0.000)
Cu (0.750, 0.250, 0.500)
Ag (0.250, 0.750, 0.500)
Ag (0.500, 0.500, 0.000)
Mo (0.114, 0.625, 0.989)
Mo (0.375, 0.364, 0.489)
Mo (0.636, 0.125, 0.011)
Mo (0.875, 0.886, 0.511)

A relaxed structure of CsHfTl2I. Source: Alexandria via LeMat-Bulk, functional GGA-PBE.

Output
calculated total energy: -2.84 eV per atom
formation energy from raw total energies: 0.58 eV/atom
magnetization: 0.0 μB/f.u.
space group: P4/mmm (123)

abc: 6.492 6.492 5.493
angles: 90.00 90.00 90.00
Fractional coordinates of all 5 atoms:
Cs (0.000, 0.000, 0.000)
Hf (0.500, 0.500, 0.000)
Tl (0.000, 0.500, 0.500)
Tl (0.500, 0.000, 0.500)
I (0.500, 0.500, 0.500)